Entry 1:
DFT (PBE) results for BeCrP2 after structural relaxation.

Computed properties:
Crystal system = monoclinic

abc: 3.998 3.998 4.410
angles: 94.82 94.82 41.94
Element x y z (fractional)
Be  0.000  0.000  0.000
Cr  0.500  0.500  0.500
P  0.226  0.226  0.723
P  0.774  0.774  0.277

***

Entry 2:
DFT (PBE) results for BeCrP2 after structural relaxation.

Computed properties:
Crystal system = tetragonal

abc: 3.886 3.886 3.009
angles: 90.00 90.00 90.00
Element x y z (fractional)
Be  0.000  0.000  0.000
Cr  0.500  0.500  0.000
P  0.000  0.500  0.500
P  0.500  0.000  0.500

***

Entry 3:
DFT (PBE) results for BeCr2P after structural relaxation.

Computed properties:
Crystal system = orthorhombic

abc: 4.346 4.346 4.346
angles: 139.41 125.99 69.70
Element x y z (fractional)
Be  0.000  0.000  0.000
Cr  0.252  0.752  0.500
Cr  0.748  0.248  0.500
P  0.500  0.500  0.000

***

Entry 4:
DFT (PBE) results for BeCr2P after structural relaxation.

Computed properties:
Crystal system = orthorhombic

abc: 2.482 2.482 7.967
angles: 90.00 90.00 106.65
Element x y z (fractional)
Be  0.000  0.000  0.000
Cr  0.000  0.000  0.536
Cr  0.500  0.500  0.784
P  0.500  0.500  0.304

***

Entry 5:
DFT (PBE) results for BeCr3P after structural relaxation.

Computed properties:
Crystal system = cubic

abc: 4.147 4.147 4.147
angles: 90.00 90.00 90.00
Element x y z (fractional)
Be  0.000  0.000  0.000
Cr  0.000  0.500  0.500
Cr  0.500  0.000  0.500
Cr  0.500  0.500  0.000
P  0.500  0.500  0.500

***

Entry 6:
DFT (PBE) results for BeCr2P after structural relaxation.

Computed properties:
Crystal system = tetragonal

abc: 2.911 2.911 4.974
angles: 90.00 90.00 90.00
Element x y z (fractional)
Be  0.000  0.000  0.000
Cr  0.000  0.000  0.505
Cr  0.500  0.500  0.235
P  0.500  0.500  0.758

***

Entry 7:
DFT (PBE) results for Be2CrP after structural relaxation.

Computed properties:
Crystal system = tetragonal

abc: 2.406 2.406 7.236
angles: 90.00 90.00 90.00
Element x y z (fractional)
Be  0.000  0.000  0.000
Be  0.500  0.500  0.199
Cr  0.000  0.000  0.441
P  0.500  0.500  0.713

***

Entry 8:
DFT (PBE) results for Be2CrP after structural relaxation.

Computed properties:
Crystal system = orthorhombic

abc: 2.404 2.404 7.294
angles: 90.00 90.00 97.54
Element x y z (fractional)
Be  0.000  0.000  0.000
Be  0.500  0.500  0.205
Cr  0.500  0.500  0.757
P  0.000  0.000  0.489

***

Energy of formation readings, ordered: 0.2, 0.7, -0.3, 0.9, 4.0, -0.8, 1.2, 1.2 eV per formula unit